[1]
! ZnNi2HRu | the Alexandria database | GGA-PBE | optimized geometry; values from VASP
! space-group type = P4/mmm (123)
! calculated total energy = -0.374 Ry per atom
&SYSTEM
  ibrav = 0, nat = 5, ntyp = 4
/
ATOMIC_SPECIES
Zn 65.41 Zn.upf
Ni 58.69 Ni.upf
H 1.01 H.upf
Ru 101.07 Ru.upf
ATOMIC_POSITIONS angstrom
Zn 0.000 0.000 0.000
Ni 0.000 1.837 1.926
Ni 1.837 0.000 1.926
H 1.837 1.837 1.926
Ru 1.837 1.837 0.000
CELL_PARAMETERS angstrom
3.673 0.000 0.000
0.000 3.673 0.000
0.000 0.000 3.852

[2]
! ZrNiHRu2 | the Alexandria database | GGA-PBE | optimized geometry; values from VASP
! ΔE to the lowest computed polymorph = 0.7290 eV/atom
! space-group type = P4/mmm (123)
! calculated total energy = -0.499 Ry per atom
&SYSTEM
  ibrav = 0, nat = 5, ntyp = 4
/
ATOMIC_SPECIES
Zr 91.22 Zr.upf
Ni 58.69 Ni.upf
H 1.01 H.upf
Ru 101.07 Ru.upf
ATOMIC_POSITIONS angstrom
Zr 0.000 0.000 0.000
Ni 2.366 2.366 1.563
H 2.366 2.366 0.000
Ru 0.000 2.366 1.563
Ru 2.366 0.000 1.563
CELL_PARAMETERS angstrom
4.732 0.000 0.000
0.000 4.732 0.000
0.000 0.000 3.127

[3]
! Zr2NiHRu | the Alexandria database | GGA-PBE | optimized geometry; values from VASP
! ΔE to the lowest computed polymorph = 0.0966 eV/atom
! space-group type = P4/mmm (123)
! calculated total energy = -0.548 Ry per atom
&SYSTEM
  ibrav = 0, nat = 5, ntyp = 4
/
ATOMIC_SPECIES
Zr 91.22 Zr.upf
Ni 58.69 Ni.upf
H 1.01 H.upf
Ru 101.07 Ru.upf
ATOMIC_POSITIONS angstrom
Zr 0.000 2.260 0.000
Zr 2.260 0.000 0.000
Ni 0.000 0.000 1.767
H 2.260 2.260 0.000
Ru 2.260 2.260 1.767
CELL_PARAMETERS angstrom
4.520 0.000 0.000
0.000 4.520 0.000
0.000 0.000 3.534

[4]
! Zr2NiHRu | the Alexandria database | GGA-PBE | optimized geometry; values from VASP
! ΔE to the lowest computed polymorph = 0.0000 eV/atom
! space-group type = P4/mmm (123)
! calculated total energy = -0.555 Ry per atom
&SYSTEM
  ibrav = 0, nat = 5, ntyp = 4
/
ATOMIC_SPECIES
Zr 91.22 Zr.upf
Ni 58.69 Ni.upf
H 1.01 H.upf
Ru 101.07 Ru.upf
ATOMIC_POSITIONS angstrom
Zr 0.000 2.300 0.000
Zr 2.300 0.000 0.000
Ni 0.000 0.000 1.674
H 0.000 0.000 0.000
Ru 2.300 2.300 1.674
CELL_PARAMETERS angstrom
4.601 0.000 0.000
0.000 4.601 0.000
0.000 0.000 3.347

[5]
! ZrNiHRu2 | the Alexandria database | GGA-PBE | optimized geometry; values from VASP
! ΔE to the lowest computed polymorph = 0.0000 eV/atom
! space-group type = P4/mmm (123)
! calculated total energy = -0.552 Ry per atom
&SYSTEM
  ibrav = 0, nat = 5, ntyp = 4
/
ATOMIC_SPECIES
Zr 91.22 Zr.upf
Ni 58.69 Ni.upf
H 1.01 H.upf
Ru 101.07 Ru.upf
ATOMIC_POSITIONS angstrom
Zr 0.000 0.000 0.000
Ni 2.002 2.002 0.000
H 2.002 2.002 1.916
Ru 0.000 2.002 1.916
Ru 2.002 0.000 1.916
CELL_PARAMETERS angstrom
4.003 0.000 0.000
0.000 4.003 0.000
0.000 0.000 3.833

[6]
! NiHS3 | the Alexandria database | GGA-PBE | optimized geometry; values from VASP
! ΔE to the lowest computed polymorph = 0.0844 eV/atom
! space-group type = Pm-3m (221)
! calculated total energy = -0.236 Ry per atom
&SYSTEM
  ibrav = 0, nat = 5, ntyp = 3
/
ATOMIC_SPECIES
Ni 58.69 Ni.upf
H 1.01 H.upf
S 32.06 S.upf
ATOMIC_POSITIONS angstrom
Ni 0.000 0.000 0.000
H 1.972 1.972 1.972
S 0.000 1.972 1.972
S 1.972 0.000 1.972
S 1.972 1.972 0.000
CELL_PARAMETERS angstrom
3.944 0.000 0.000
0.000 3.944 0.000
0.000 0.000 3.944